TmZn5 | PBE | optimized geometry

```
TmZn5
1.0
8.8598 0.0000 0.0000
-4.4299 7.6728 0.0000
0.0000 0.0000 8.9857
Tm Zn
6 30
Cartesian
-1.8708 6.1953 2.2464
0.0000 2.9550 2.2464
1.8708 6.1953 2.2464
6.3007 1.4775 6.7393
4.4299 4.7178 6.7393
2.5591 1.4775 6.7393
0.0000 0.0000 4.4928
0.0000 0.0000 0.0000
0.0000 5.1152 4.3461
4.4299 2.5576 4.6395
4.4299 2.5576 8.8390
0.0000 5.1152 0.1467
2.2150 3.8364 4.4928
4.4299 0.0000 4.4928
-2.2150 3.8364 4.4928
2.2150 3.8364 0.0000
4.4299 0.0000 0.0000
-2.2150 3.8364 0.0000
3.1137 3.3175 2.2464
4.4299 1.0378 2.2464
5.7461 3.3175 2.2464
1.3162 4.3553 6.7393
0.0000 6.6351 6.7393
-1.3162 4.3553 6.7393
6.7399 1.2240 3.6528
4.4299 5.2249 3.6528
2.1200 1.2240 3.6528
-2.3100 6.4489 5.3329
0.0000 2.4479 5.3329
2.3099 6.4489 5.3329
-2.3100 6.4489 8.1456
0.0000 2.4479 8.1456
2.3099 6.4489 8.1456
6.7399 1.2240 0.8400
4.4299 5.2249 0.8400
2.1200 1.2240 0.8400
```

Output
The calculation puts the energy relative to the elements at -0.25 eV/atom. As for the space group: No. 194.